An optimized crystal structure of Sm2ZrC. Source: the Alexandria database, functional GGA-PBE.

```
4
Lattice="-1.748 2.528 1.625 -2.698 -0.790 2.045 4.388 -0.157 8.681" Properties=species:S:1:pos:R:3 pbc="T T T"
C -0.029 0.790 6.176
Zr 0.000 0.000 0.000
Sm 2.328 0.102 6.064
Sm -2.386 1.479 6.287
```

Computed properties:
M_tot in μB per cell: 0.00
SG: R-3m
Volume in Å³ per atom: 24.90
Final energy in eV per atom: -6.58